(1)
Entry from Alexandria: a relaxed Tb3GaO6 crystal (PBE).

Unit cell a=7.1885 b=7.1885 c=5.4613 alpha=90.00 beta=90.00 gamma=102.82
Atoms (fractional coordinates):
O (0.3555, 0.3244, 0.3033)
O (0.6756, 0.6445, 0.3033)
O (0.8941, 0.4212, 0.8225)
O (0.5788, 0.1059, 0.8225)
O (0.6445, 0.6756, 0.8033)
O (0.2156, 0.7844, 0.8362)
O (0.0393, 0.9607, 0.3576)
O (0.1059, 0.5788, 0.3225)
O (0.9607, 0.0393, 0.8576)
O (0.7844, 0.2156, 0.3362)
O (0.3244, 0.3555, 0.8033)
O (0.4212, 0.8941, 0.3225)
Tb (0.2990, 0.0874, 0.0311)
Tb (0.3977, 0.6023, 0.0783)
Tb (0.9126, 0.7010, 0.0311)
Tb (0.0874, 0.2990, 0.5311)
Tb (0.7010, 0.9126, 0.5311)
Tb (0.6023, 0.3977, 0.5783)
Ga (0.1929, 0.8071, 0.4995)
Ga (0.8071, 0.1929, 0.9995)

Formation energy without anion corrections (eV per formula unit): -31.63
Energy (eV per cell): -156.59
Magnetization (μB per formula unit): 0.00

***

(2)
Entry from Alexandria: a relaxed Tb6Ga2O crystal (PBE).

Unit cell a=6.2966 b=7.8430 c=9.1666 alpha=90.00 beta=92.45 gamma=90.00
Atoms (fractional coordinates):
Tb (0.1168, 0.0349, 0.7589)
Tb (0.8832, 0.9651, 0.2411)
Tb (0.1377, 0.2920, 0.4406)
Tb (0.6168, 0.4651, 0.2589)
Tb (0.8275, 0.6563, 0.9448)
Tb (0.8623, 0.7080, 0.5594)
Tb (0.1725, 0.3437, 0.0552)
Tb (0.3832, 0.5349, 0.7411)
Tb (0.3623, 0.7920, 0.0594)
Tb (0.3275, 0.8437, 0.4448)
Tb (0.6377, 0.2080, 0.9406)
Tb (0.6725, 0.1563, 0.5552)
Ga (0.4385, 0.1148, 0.2406)
Ga (0.9385, 0.3852, 0.7406)
Ga (0.0615, 0.6148, 0.2594)
Ga (0.5615, 0.8852, 0.7594)
O (0.0000, 0.0000, 0.5000)
O (0.5000, 0.5000, 0.0000)

Formation energy without anion corrections (eV per formula unit): -7.85
Energy (eV per cell): -93.28
Magnetization (μB per formula unit): 0.00

***

(3)
Entry from Alexandria: a relaxed TbGaO2 crystal (PBE).

Unit cell a=3.4886 b=3.4886 c=6.7938 alpha=75.12 beta=75.12 gamma=60.00
Atoms (fractional coordinates):
O (0.1093, 0.1093, 0.6722)
O (0.8907, 0.8907, 0.3278)
Tb (0.5000, 0.5000, 0.5000)
Ga (0.0000, 0.0000, 0.0000)

Formation energy without anion corrections (eV per formula unit): -9.25
Energy (eV per cell): -26.83
Magnetization (μB per formula unit): 0.00

***

(4)
Entry from Alexandria: a relaxed Tb12Ga3O5 crystal (PBE).

Unit cell a=13.3078 b=13.3078 c=13.3078 alpha=109.47 beta=109.47 gamma=109.47
Atoms (fractional coordinates):
Tb (0.5898, 0.7025, 0.6862)
Tb (0.3873, 0.4036, 0.0898)
Tb (0.3873, 0.9837, 0.7975)
Tb (0.5964, 0.9837, 0.6862)
Tb (0.2975, 0.8873, 0.9837)
Tb (0.4837, 0.6862, 0.0964)
Tb (0.9036, 0.8138, 0.5163)
Tb (0.1862, 0.0898, 0.7025)
Tb (0.8873, 0.5898, 0.9036)
Tb (0.4102, 0.1127, 0.5964)
Tb (0.0898, 0.1862, 0.2025)
Tb (0.0964, 0.1862, 0.4837)
Tb (0.6862, 0.4837, 0.5964)
Tb (0.3138, 0.5163, 0.4036)
Tb (0.7975, 0.3138, 0.9102)
Tb (0.3138, 0.7975, 0.4102)
Tb (0.4102, 0.2975, 0.3138)
Tb (0.6127, 0.0163, 0.2025)
Tb (0.1127, 0.7025, 0.5163)
Tb (0.8138, 0.9102, 0.2975)
Tb (0.2975, 0.4102, 0.8138)
Tb (0.7025, 0.1127, 0.0163)
Tb (0.6127, 0.5964, 0.9102)
Tb (0.9102, 0.0964, 0.6127)
Tb (0.2025, 0.5163, 0.6127)
Tb (0.4036, 0.3873, 0.5898)
Tb (0.1862, 0.0964, 0.9837)
Tb (0.9837, 0.3873, 0.2975)
Tb (0.5964, 0.6127, 0.4102)
Tb (0.6862, 0.2025, 0.5898)
Tb (0.9837, 0.5964, 0.1862)
Tb (0.5898, 0.8873, 0.4036)
Tb (0.4837, 0.7975, 0.8873)
Tb (0.0964, 0.9102, 0.1127)
Tb (0.9036, 0.0898, 0.8873)
Tb (0.0163, 0.4036, 0.8138)
Tb (0.7025, 0.5898, 0.1862)
Tb (0.8138, 0.9036, 0.0163)
Tb (0.9102, 0.8138, 0.7975)
Tb (0.8873, 0.2975, 0.4837)
Tb (0.0898, 0.9036, 0.3873)
Tb (0.5163, 0.3138, 0.9036)
Tb (0.2025, 0.6862, 0.0898)
Tb (0.1127, 0.4102, 0.0964)
Tb (0.5163, 0.2025, 0.1127)
Tb (0.7975, 0.4837, 0.3873)
Tb (0.4036, 0.0163, 0.3138)
Tb (0.0163, 0.6127, 0.7025)
Ga (0.8750, 0.1250, 0.2500)
Ga (0.2500, 0.1250, 0.3750)
Ga (0.7500, 0.3750, 0.1250)
Ga (0.8750, 0.7500, 0.1250)
Ga (0.1250, 0.8750, 0.7500)
Ga (0.3750, 0.7500, 0.6250)
Ga (0.7500, 0.8750, 0.6250)
Ga (0.3750, 0.6250, 0.2500)
Ga (0.1250, 0.2500, 0.8750)
Ga (0.2500, 0.6250, 0.8750)
Ga (0.6250, 0.3750, 0.7500)
Ga (0.6250, 0.2500, 0.3750)
O (0.8750, 0.6250, 0.7500)
O (0.0000, 0.0000, 0.0000)
O (0.5000, 0.5000, 0.5000)
O (0.6250, 0.8750, 0.2500)
O (0.2500, 0.3750, 0.6250)
O (0.5000, 0.0000, 0.0000)
O (0.0000, 0.5000, 0.0000)
O (0.6250, 0.7500, 0.8750)
O (0.1250, 0.7500, 0.3750)
O (0.2500, 0.8750, 0.1250)
O (0.5000, 0.5000, 0.0000)
O (0.3750, 0.2500, 0.1250)
O (0.0000, 0.5000, 0.5000)
O (0.1250, 0.3750, 0.2500)
O (0.0000, 0.0000, 0.5000)
O (0.3750, 0.1250, 0.7500)
O (0.7500, 0.6250, 0.3750)
O (0.7500, 0.1250, 0.8750)
O (0.5000, 0.0000, 0.5000)
O (0.8750, 0.2500, 0.6250)

Formation energy without anion corrections (eV per formula unit): -31.90
Energy (eV per cell): -485.35
Magnetization (μB per formula unit): 0.00